No. 1
Tb5Rh3 at its PBEsol-relaxed geometry, computed with meta-GGA SCAN.

Cell: 8.1361 8.1361 6.2221 Å, 90.00 90.00 120.00°
Space group P6_3/mcm (No. 193)
Inequivalent atoms, fractional coordinates:
Tb 0.0000 0.2488 0.2500 x6
Tb 0.3333 0.6667 0.0000 x4
Rh 0.0000 0.3974 0.7500 x6

Summary:
Electronic total energy, eV per cell: -683.252
Formation energy, eV/atom: -0.81

***

No. 2
TbRh5 at its PBEsol-relaxed geometry, computed with meta-GGA SCAN.

Cell: 5.1438 5.1438 4.2646 Å, 90.00 90.00 120.00°
Space group P6/mmm (No. 191)
Inequivalent atoms, fractional coordinates:
Tb 0.0000 0.0000 0.0000 x1
Rh 0.0000 0.5000 0.5000 x3
Rh 0.3333 0.6667 0.0000 x2

Summary:
Electronic total energy, eV per cell: -217.628
Formation energy, eV/atom: -0.33

***

No. 3
TbRh2 at its PBEsol-relaxed geometry, computed with meta-GGA SCAN.

Cell: 7.435 7.435 7.435 Å, 90.00 90.00 90.00°
Space group Fd-3m (No. 227, origin choice 2)
Inequivalent atoms, fractional coordinates:
Tb 0.125 0.125 0.125 x8
Rh 0.000 0.000 0.500 x16

Summary:
Electronic total energy, eV per cell: -934.647
Formation energy, eV/atom: -0.84

***

No. 4
TbZnRh2 at its PBEsol-relaxed geometry, computed with meta-GGA SCAN.

Cell: 6.348 6.348 6.348 Å, 90.00 90.00 90.00°
Space group Fm-3m (No. 225)
Inequivalent atoms, fractional coordinates:
Tb 0.000 0.000 0.000 x4
Zn 0.000 0.000 0.500 x4
Rh 0.250 0.250 0.250 x8

Summary:
Electronic total energy, eV per cell: -522.253
Formation energy, eV/atom: -0.69

***

No. 5
TcRh5 at its PBEsol-relaxed geometry, computed with meta-GGA SCAN.

Cell: 2.670 2.670 11.357 Å, 90.00 90.00 90.00°
Space group P4/mmm (No. 123)
Inequivalent atoms, fractional coordinates:
Tc 0.000 0.000 0.000 x1
Rh 0.000 0.000 0.336 x2
Rh 0.500 0.500 0.164 x2
Rh 0.500 0.500 0.500 x1

Summary:
Electronic total energy, eV per cell: -204.258
Formation energy, eV/atom: -0.06

***

No. 6
TcRh3 at its PBEsol-relaxed geometry, computed with meta-GGA SCAN.

Cell: 8.882 2.664 4.636 Å, 90.00 99.87 90.00°
Space group C2/m (No. 12)
Inequivalent atoms, fractional coordinates:
Tc 0.000 0.000 0.000 x2
Rh 0.000 0.500 0.500 x2
Rh 0.249 0.500 0.247 x4

Summary:
Electronic total energy, eV per cell: -273.193
Formation energy, eV/atom: -0.06

***

No. 7
Tc7Rh at its PBEsol-relaxed geometry, computed with meta-GGA SCAN.

Cell: 7.635 7.635 7.635 Å, 90.00 90.00 90.00°
Space group Fm-3m (No. 225)
Inequivalent atoms, fractional coordinates:
Tc 0.000 0.000 0.000 x4
Tc 0.000 0.250 0.250 x24
Rh 0.000 0.000 0.500 x4

Summary:
Electronic total energy, eV per cell: -1116.608
Formation energy, eV/atom: 0.00

***

No. 8
TcRh5 at its PBEsol-relaxed geometry, computed with meta-GGA SCAN.

Cell: 4.294 2.693 13.995 Å, 90.00 90.00 90.00°
Space group Amm2 (No. 38)
Inequivalent atoms, fractional coordinates:
Tc 0.000 0.000 0.000 x2
Rh 0.000 0.000 0.335 x2
Rh 0.000 0.000 0.663 x2
Rh 0.500 0.000 0.110 x2
Rh 0.500 0.000 0.443 x2
Rh 0.500 0.000 0.776 x2

Summary:
Electronic total energy, eV per cell: -408.674
Formation energy, eV/atom: -0.07